Compound: CaSbCl3
Source: Alexandria via LeMat-Bulk
Functional: PBE-GGA
Structure: relaxed

Summary:
**ρ**: 2.63 g cm⁻³
**E_form (uncorrected)**: -620 meV/atom
**Symmetry**: No. 221
**DOS at the Fermi energy**: 4.84 states/eV/f.u.

abc: 5.529 5.529 5.529
angles: 90.00 90.00 90.00
Sites, in units of the cell vectors:
Ca 0.000 0.000 0.000
Sb 0.500 0.500 0.500
Cl 0.000 0.500 0.500
Cl 0.500 0.000 0.500
Cl 0.500 0.500 0.000